Material: Y3HoB2Pb2
Method: DFT, GGA-PBE
State: relaxed

Calculated values
- Symmetry: P3m1 (156)
- Electronic total energy: -5.82 eV per atom
- V: 24.6 Å³/atom
- Total moment: 0.11 Bohr magnetons per cell

a = 3.6950 Å, b = 3.6950 Å, c = 16.6765 Å
α = 90.00°, β = 90.00°, γ = 120.00°
Sites, in units of the cell vectors:
Y  0.0000  0.0000  0.4095
B  0.6667  0.3333  0.0009
Ho  0.0000  0.0000  0.0891
Pb  0.0000  0.0000  0.7504
Y  0.3333  0.6667  0.9107
Y  0.3333  0.6667  0.5903
Pb  0.3333  0.6667  0.2491
B  0.6667  0.3333  0.5000